1.
VASP calculation (PBE-GGA) on a relaxed BaTb2CrN4 crystal.

Lattice parameters (Å, degrees): 3.4853 12.2878 11.7957 90.00 90.00 90.00
Space group Cmcm (No. 63)
Symmetry-distinct sites (fractional):
Ba (0.0000, 0.0864, 0.2500) x4
Tb (0.0000, 0.3696, 0.0420) x8
Cr (0.0000, 0.1803, 0.7500) x4
N (0.0000, 0.0000, 0.0000) x4
N (0.0000, 0.2562, 0.6203) x8
N (0.0000, 0.3936, 0.2500) x4

Values from the calculation:
Total magnetization in μB per formula unit: 1.810
Energy relative to the elements, uncorrected in eV per atom: -1.152
Electronic total energy in eV/atom: -7.916

---

2.
VASP calculation (PBE-GGA) on a relaxed Ba2TbCrN4 crystal.

Lattice parameters (Å, degrees): 5.6956 11.6485 21.6132 90.00 90.00 90.00
Space group Fddd (No. 70, origin choice 2)
Symmetry-distinct sites (fractional):
Ba (0.1250, 0.1250, 0.3102) x16
Tb (0.1250, 0.1250, 0.1250) x8
Cr (0.1250, 0.1250, 0.6250) x8
N (0.0678, 0.2832, 0.8337) x32

Values from the calculation:
Total magnetization in μB per formula unit: 0.002
Energy relative to the elements, uncorrected in eV per atom: -0.463
Electronic total energy in eV/atom: -6.888

---

3.
VASP calculation (PBE-GGA) on a relaxed BaCrTc2N crystal.

Lattice parameters (Å, degrees): 4.0192 4.0192 5.3124 90.00 90.00 90.00
Space group P4/mmm (No. 123)
Symmetry-distinct sites (fractional):
Ba (0.0000, 0.0000, 0.0000) x1
Cr (0.5000, 0.5000, 0.0000) x1
Tc (0.0000, 0.5000, 0.5000) x2
N (0.0000, 0.0000, 0.5000) x1

Values from the calculation:
Total magnetization in μB per formula unit: 0.051
Energy relative to the elements, uncorrected in eV per atom: 0.938
Electronic total energy in eV/atom: -7.182

---

4.
VASP calculation (PBE-GGA) on a relaxed Ba2ThCr2N6 crystal.

Lattice parameters (Å, degrees): 10.6386 6.0243 7.1215 90.00 122.00 90.00
Space group C2/m (No. 12)
Symmetry-distinct sites (fractional):
Ba (0.2139, 0.0000, 0.1902) x4
Th (0.0000, 0.0000, 0.5000) x2
Cr (0.0440, 0.5000, 0.2051) x4
N (0.0367, 0.2611, 0.7792) x8
N (0.2325, 0.5000, 0.3397) x4

Values from the calculation:
Total magnetization in μB per formula unit: 0.000
Energy relative to the elements, uncorrected in eV per atom: -0.918
Electronic total energy in eV/atom: -8.233

---

Quick rundown of calculated volume, same order as above: 505.2 1433.9 85.8 387.1 Å³/cell